# 1
Below is an optimized crystal structure of Pm12TmSc6, with properties calculated at the PBE-GGA level.

formation energy = 502 kJ/mol of formula units
space-group type = No. 148
relative energy among the computed polymorphs = 0.96 kcal/mol of atoms

Unit cell a=9.013 b=9.013 c=9.013 alpha=106.89 beta=106.89 gamma=106.89
Positions (direct):
Pm  0.488  0.194  0.579
Pm  0.194  0.579  0.488
Pm  0.579  0.488  0.194
Pm  0.512  0.806  0.421
Pm  0.806  0.421  0.512
Pm  0.421  0.512  0.806
Pm  0.285  0.119  0.823
Pm  0.177  0.715  0.881
Pm  0.881  0.177  0.715
Pm  0.715  0.881  0.177
Pm  0.823  0.285  0.119
Pm  0.119  0.823  0.285
Tm  0.000  0.000  0.000
Sc  0.082  0.190  0.450
Sc  0.810  0.550  0.918
Sc  0.550  0.918  0.810
Sc  0.918  0.810  0.550
Sc  0.190  0.450  0.082
Sc  0.450  0.082  0.190



# 2
Below is an optimized crystal structure of BaNi3As, with properties calculated at the PBE-GGA level.

formation energy = 865 kJ/mol of formula units
space-group type = No. 221
relative energy among the computed polymorphs = 42.05 kcal/mol of atoms

Unit cell a=4.880 b=4.880 c=4.880 alpha=90.00 beta=90.00 gamma=90.00
Positions (direct):
Ni  0.000  0.500  0.000
Ni  0.000  0.000  0.500
Ni  0.500  0.000  0.000
As  0.500  0.500  0.500
Ba  0.000  0.000  0.000



# 3
Below is an optimized crystal structure of KNdHg6, with properties calculated at the PBE-GGA level.

formation energy = -202 kJ/mol of formula units
space-group type = No. 25

Unit cell a=5.344 b=5.711 c=7.088 alpha=90.00 beta=90.00 gamma=90.00
Positions (direct):
K  0.000  0.668  0.000
Nd  0.500  0.350  0.500
Hg  0.500  0.834  0.265
Hg  0.000  0.176  0.737
Hg  0.000  0.176  0.263
Hg  0.500  0.834  0.735
Hg  0.000  0.684  0.500
Hg  0.500  0.277  0.000



# 4
Below is an optimized crystal structure of Hg3Ru5O12, with properties calculated at the PBE-GGA level.

raw formation energy = -0.54 eV/atom
space-group type = No. 230

Unit cell a=11.421 b=11.421 c=11.421 alpha=109.47 beta=109.47 gamma=109.47
Each line ends with the local moment (μB).
Positions (direct):
Hg  0.750  0.375  0.125  0.00
Hg  0.875  0.750  0.125  0.00
Hg  0.375  0.750  0.625  0.00
Hg  0.250  0.125  0.375  0.00
Hg  0.875  0.125  0.250  0.00
Hg  0.375  0.625  0.250  0.00
Hg  0.625  0.375  0.750  0.00
Hg  0.125  0.875  0.750  0.00
Hg  0.750  0.875  0.625  0.00
Hg  0.625  0.250  0.375  0.00
Hg  0.125  0.250  0.875  0.00
Hg  0.250  0.625  0.875  0.00
Ru  0.125  0.375  0.250  0.35
Ru  0.000  0.500  0.000  -0.08
Ru  0.000  0.000  0.000  -0.08
Ru  0.375  0.250  0.125  0.35
Ru  0.500  0.000  0.500  -0.08
Ru  0.500  0.500  0.000  -0.08
Ru  0.125  0.750  0.375  0.35
Ru  0.750  0.125  0.875  0.35
Ru  0.750  0.625  0.375  0.35
Ru  0.375  0.125  0.750  0.35
Ru  0.625  0.875  0.250  0.35
Ru  0.500  0.500  0.500  -0.08
Ru  0.500  0.000  0.000  -0.08
Ru  0.000  0.000  0.500  -0.08
Ru  0.250  0.375  0.625  0.35
Ru  0.250  0.875  0.125  0.35
Ru  0.000  0.500  0.500  -0.08
Ru  0.875  0.250  0.625  0.35
Ru  0.625  0.750  0.875  0.35
Ru  0.875  0.625  0.750  0.35
O  0.665  0.128  0.992  0.03
O  0.327  0.492  0.364  0.03
O  0.008  0.372  0.335  0.03
O  0.492  0.165  0.128  0.03
O  0.537  0.665  0.673  0.03
O  0.008  0.636  0.173  0.03
O  0.327  0.835  0.463  0.03
O  0.136  0.963  0.128  0.03
O  0.636  0.008  0.673  0.03
O  0.665  0.537  0.173  0.03
O  0.835  0.508  0.372  0.03
O  0.827  0.864  0.992  0.03
O  0.128  0.665  0.492  0.03
O  0.372  0.364  0.037  0.03
O  0.037  0.864  0.372  0.03
O  0.463  0.128  0.636  0.03
O  0.037  0.173  0.165  0.03
O  0.508  0.673  0.136  0.03
O  0.827  0.963  0.335  0.03
O  0.128  0.463  0.136  0.03
O  0.372  0.008  0.835  0.03
O  0.636  0.628  0.463  0.03
O  0.864  0.827  0.492  0.03
O  0.835  0.327  0.963  0.03
O  0.364  0.372  0.537  0.03
O  0.136  0.173  0.508  0.03
O  0.165  0.673  0.037  0.03
O  0.173  0.037  0.665  0.03
O  0.628  0.992  0.165  0.03
O  0.872  0.537  0.864  0.03
O  0.492  0.327  0.864  0.03
O  0.537  0.872  0.364  0.03
O  0.963  0.827  0.835  0.03
O  0.963  0.136  0.628  0.03
O  0.872  0.335  0.508  0.03
O  0.173  0.136  0.008  0.03
O  0.628  0.636  0.963  0.03
O  0.364  0.992  0.327  0.03
O  0.335  0.463  0.827  0.03
O  0.165  0.492  0.628  0.03
O  0.864  0.037  0.872  0.03
O  0.673  0.165  0.537  0.03
O  0.508  0.835  0.872  0.03
O  0.992  0.364  0.827  0.03
O  0.463  0.335  0.327  0.03
O  0.992  0.628  0.665  0.03
O  0.673  0.508  0.636  0.03
O  0.335  0.872  0.008  0.03



For the records above, the corresponding total magnetization values read 0.00; 0.00; 0.00; 5.47 μB per cell.
For the records above, the corresponding final energy values read -94.266; -14.948; -9.771; -470.247 eV for the cell shown.